[1]
CsUBr5: relaxed, GGA-PBE.

abc: 13.4491 9.0906 11.5235
angles: 90.00 114.06 90.00
Closest atoms and distances in Å follow each position.
Space group C2/c (No. 15)
Asymmetric unit:
Cs: 0.0000 0.0300 0.2500 (multiplicity 4)  7 Br 3.69-3.84
U: 0.0000 0.5000 0.0000 (multiplicity 4)  6 Br 2.72-2.91
Br: 0.0000 0.4520 0.2500 (multiplicity 4)  2 U 2.91
Br: 0.0968 0.2273 0.0213 (multiplicity 8)  1 U 2.76
Br: 0.1987 0.3694 0.6108 (multiplicity 8)  1 U 2.72

Properties
Formation energy from raw total energies   -1.470 eV/atom

---

[2]
Ca3Tl3Au2: relaxed, GGA-PBE.

abc: 8.0951 8.0951 3.7630
angles: 90.00 90.00 120.00
Closest atoms and distances in Å follow each position.
Space group P-62m (No. 189)
Asymmetric unit:
Ca: 0.0000 0.4084 0.0000 (multiplicity 3)  4 Au 3.09, 6 Tl 3.43-3.45
Tl: 0.0000 0.7655 0.5000 (multiplicity 3)  2 Au 3.18, 2 Tl 3.29, 6 Ca 3.43-3.45
Au: 0.3333 0.6667 0.5000 (multiplicity 2)  6 Ca 3.09, 3 Tl 3.18

Properties
ΔE_f   -528 meV per atom

---

[3]
ZnNi2: relaxed, GGA-PBE.

abc: 4.2837 2.6224 6.3371
angles: 90.00 100.97 90.00
Closest atoms and distances in Å follow each position.
Space group P2/m (No. 10)
Asymmetric unit:
Zn: 0.2382 0.0000 0.3296 (multiplicity 2)  9 Ni 2.50-2.55, 2 Zn 2.62
Ni: 0.0000 0.5000 0.0000 (multiplicity 1)  8 Ni 2.51-2.62, 4 Zn 2.51
Ni: 0.2595 0.5000 0.6716 (multiplicity 2)  6 Zn 2.50-2.52, 6 Ni 2.51-2.80
Ni: 0.5000 0.0000 0.0000 (multiplicity 1)  10 Ni 2.51-2.62, 2 Zn 2.55

Properties
ΔE_f   -146 meV per atom

---

[4]
PuTh2Ti: relaxed, GGA-PBE.

abc: 5.1297 5.1297 3.9869
angles: 90.00 90.00 90.00
Closest atoms and distances in Å follow each position.
Space group P4/mmm (No. 123)
Asymmetric unit:
Pu: 0.0000 0.0000 0.0000 (multiplicity 1)  8 Th 3.25, 4 Ti 3.63
Th: 0.0000 0.5000 0.5000 (multiplicity 2)  4 Ti 3.25, 4 Pu 3.25, 4 Th 3.63
Ti: 0.5000 0.5000 0.0000 (multiplicity 1)  8 Th 3.25, 4 Pu 3.63

Properties
ΔE_f   147 meV per atom
Excess energy over the best structure of this formula in the dataset   0.55 kcal/mol of atoms

---

[5]
Al2AgIr: relaxed, GGA-PBE.

abc: 5.7690 5.7690 11.3916
angles: 90.00 90.00 90.00
Closest atoms and distances in Å follow each position.
Space group I-42d (No. 122)
Asymmetric unit:
Al: 0.2122 0.2500 0.1250 (multiplicity 8)  2 Ir 2.37, 2 Ag 2.62
Ag: 0.0000 0.0000 0.5000 (multiplicity 4)  4 Al 2.62
Ir: 0.0000 0.0000 0.0000 (multiplicity 4)  4 Al 2.37

Properties
ΔE_f   337 meV per atom

---

[6]
TeSI2O: relaxed, GGA-PBE.

abc: 5.9142 5.9142 3.5995
angles: 90.00 90.00 90.00
Closest atoms and distances in Å follow each position.
Space group P4/mmm (No. 123)
Asymmetric unit:
Te: 0.0000 0.0000 0.0000 (multiplicity 1)  8 I 3.46, 2 Te 3.60
S: 0.5000 0.5000 0.5000 (multiplicity 1)  2 O 1.80
I: 0.0000 0.5000 0.5000 (multiplicity 2)  2 S 2.96
O: 0.5000 0.5000 0.0000 (multiplicity 1)  2 S 1.80

Properties
Formation energy from raw total energies   0.334 eV/atom
Excess energy over the best structure of this formula in the dataset   0.30 kcal/mol of atoms

---

[7]
HoTlSnBr6: relaxed, GGA-PBE.

abc: 7.5529 7.5529 7.1760
angles: 90.00 90.00 120.00
Closest atoms and distances in Å follow each position.
Space group P312 (No. 149)
Asymmetric unit:
Ho: 0.0000 0.0000 0.0000 (multiplicity 1)  6 Br 2.81
Tl: 0.3333 0.6667 0.5000 (multiplicity 1)  6 Br 3.39
Sn: 0.6667 0.3333 0.0000 (multiplicity 1)  6 Br 3.00
Br: 0.3136 0.0223 0.2264 (multiplicity 6)  1 Ho 2.81, 1 Sn 3.00

Properties
Formation energy from raw total energies   -1.298 eV/atom

---

[8]
Pm4Nd10Sm: relaxed, GGA-PBE.

abc: 9.9688 9.9688 10.6894
angles: 90.00 90.00 90.00
Closest atoms and distances in Å follow each position.
Space group I4/m (No. 87)
Asymmetric unit:
Pm: 0.0575 0.6704 0.0000 (multiplicity 8)  2 Nd 3.22, 1 Sm 3.33, 1 Pm 3.59
Nd: 0.0000 0.5000 0.2500 (multiplicity 4)  4 Pm 3.22, 4 Nd 3.28
Nd: 0.1160 0.7922 0.3406 (multiplicity 16)  5 Nd 3.28-3.41
Sm: 0.0000 0.0000 0.0000 (multiplicity 2)  4 Pm 3.33

Properties
ΔE_f   292 meV per atom

---

Total magnetic moment in μB per atom, matching the order above: 0.286; 0.000; 0.085; 1.314; 0.000; 0.000; 0.000; 0.000